{
  "formula": "TaSbPd5",
  "functional": "PBE",
  "state": "relaxed",
  "lattice_angstrom": [[-0.968, -3.485, 1.590], [3.420, -1.525, -1.259], [3.451, 2.138, 6.786]],
  "species": ["Ta", "Pd", "Pd", "Pd", "Pd", "Pd", "Sb"],
  "frac_coords": [[0.500, 0.500, 0.000], [0.500, 0.000, 0.779], [0.500, 0.500, 0.500], [0.500, 0.000, 0.221], [0.000, 0.500, 0.221], [0.000, 0.500, 0.779], [0.000, 0.000, 0.500]],
  "total_energy_ev_per_cell": -43.59,
  "raw_formation_energy_mev_per_atom": -236,
  "crystal_system": "tetragonal",
  "m_tot_mub_per_cell": 0.0
}

---

{
  "formula": "Ta3SbPd",
  "functional": "PBE",
  "state": "relaxed",
  "lattice_angstrom": [[4.863, 0.000, 0.000], [0.000, 4.863, 0.000], [0.000, 0.000, 4.863]],
  "species": ["Sb", "Ta", "Pd", "Ta", "Ta"],
  "frac_coords": [[0.500, 0.500, 0.500], [0.000, 0.500, 0.000], [0.000, 0.000, 0.000], [0.000, 0.000, 0.500], [0.500, 0.000, 0.000]],
  "total_energy_ev_per_cell": -38.80,
  "raw_formation_energy_mev_per_atom": 1215,
  "crystal_system": "cubic",
  "m_tot_mub_per_cell": 0.0
}

---

{
  "formula": "TaSbPd6",
  "functional": "PBE",
  "state": "relaxed",
  "lattice_angstrom": [[-2.356, 6.563, 2.572], [-6.100, 3.120, -2.884], [-4.383, 1.919, 1.791]],
  "species": ["Ta", "Pd", "Pd", "Pd", "Pd", "Pd", "Sb", "Pd"],
  "frac_coords": [[0.500, 0.500, 0.500], [0.455, 0.746, 0.758], [0.746, 0.042, 0.756], [0.254, 0.958, 0.244], [0.043, 0.454, 0.756], [0.545, 0.254, 0.242], [0.000, 0.000, 0.000], [0.957, 0.546, 0.244]],
  "total_energy_ev_per_cell": -49.57,
  "raw_formation_energy_mev_per_atom": -304,
  "crystal_system": "triclinic",
  "m_tot_mub_per_cell": 0.0
}

---

{
  "formula": "TaSbPd2",
  "functional": "PBE",
  "state": "relaxed",
  "lattice_angstrom": [[4.030, 0.000, 0.000], [0.000, 4.030, 0.000], [2.015, 2.015, 9.410]],
  "species": ["Pd", "Ta", "Pd", "Sb", "Ta", "Pd", "Sb", "Pd"],
  "frac_coords": [[0.875, 0.880, 0.750], [0.750, 0.250, 0.500], [0.120, 0.625, 0.250], [0.500, 0.500, 0.000], [0.000, 0.000, 0.000], [0.375, 0.370, 0.750], [0.250, 0.750, 0.500], [0.630, 0.125, 0.250]],
  "total_energy_ev_per_cell": -52.23,
  "raw_formation_energy_mev_per_atom": 61,
  "crystal_system": "tetragonal",
  "m_tot_mub_per_cell": 0.0
}

---

{
  "formula": "TaSb2Pd",
  "functional": "PBE",
  "state": "relaxed",
  "lattice_angstrom": [[-0.766, 6.218, -0.617], [-5.580, -0.400, 2.887], [-0.536, 3.751, 6.347]],
  "species": ["Pd", "Sb", "Ta", "Pd", "Sb", "Sb", "Ta", "Sb"],
  "frac_coords": [[0.250, 0.750, 0.500], [0.875, 0.865, 0.750], [0.750, 0.250, 0.500], [0.500, 0.500, 0.000], [0.135, 0.625, 0.250], [0.615, 0.125, 0.250], [0.000, 0.000, 0.000], [0.375, 0.385, 0.750]],
  "total_energy_ev_per_cell": -47.00,
  "raw_formation_energy_mev_per_atom": 448,
  "crystal_system": "tetragonal",
  "m_tot_mub_per_cell": 0.0
}

---

{
  "formula": "TaSbPd6",
  "functional": "PBE",
  "state": "relaxed",
  "lattice_angstrom": [[-2.923, 2.562, 0.959], [-2.037, -1.102, -3.265], [-3.692, -5.809, 4.264]],
  "species": ["Pd", "Pd", "Pd", "Pd", "Pd", "Sb", "Pd", "Ta"],
  "frac_coords": [[0.000, 0.500, 0.265], [0.500, 0.500, 0.500], [0.500, 0.000, 0.265], [0.500, 0.000, 0.735], [0.000, 0.500, 0.735], [0.000, 0.000, 0.000], [0.500, 0.500, 0.000], [0.000, 0.000, 0.500]],
  "total_energy_ev_per_cell": -50.46,
  "raw_formation_energy_mev_per_atom": -416,
  "crystal_system": "tetragonal",
  "m_tot_mub_per_cell": 0.0
}

---

{
  "formula": "TaSbPd3",
  "functional": "PBE",
  "state": "relaxed",
  "lattice_angstrom": [[-1.005, 4.674, -0.623], [-2.782, -1.102, -3.781], [-3.808, -0.429, 2.927]],
  "species": ["Ta", "Sb", "Pd", "Pd", "Pd"],
  "frac_coords": [[0.500, 0.500, 0.500], [0.000, 0.000, 0.000], [0.500, 0.000, 0.000], [0.000, 0.000, 0.500], [0.000, 0.500, 0.000]],
  "total_energy_ev_per_cell": -26.85,
  "raw_formation_energy_mev_per_atom": 941,
  "crystal_system": "cubic",
  "m_tot_mub_per_cell": 2.1
}

---

{
  "formula": "TaSb2Pd",
  "functional": "PBE",
  "state": "relaxed",
  "lattice_angstrom": [[2.025, -4.052, -1.726], [-2.571, -2.978, -2.832], [1.050, -0.365, -4.718]],
  "species": ["Sb", "Ta", "Pd", "Sb"],
  "frac_coords": [[0.250, 0.250, 0.250], [0.500, 0.500, 0.500], [0.000, 0.000, 0.000], [0.750, 0.750, 0.750]],
  "total_energy_ev_per_cell": -24.81,
  "raw_formation_energy_mev_per_atom": 121,
  "crystal_system": "cubic",
  "m_tot_mub_per_cell": 0.0
}

---

{
  "formula": "TaTcSbPd2",
  "functional": "PBE",
  "state": "relaxed",
  "lattice_angstrom": [[-1.946, -4.296, 0.291], [1.493, -0.360, 4.663], [-4.059, 1.937, 1.449]],
  "species": ["Ta", "Sb", "Pd", "Tc", "Pd"],
  "frac_coords": [[0.500, 0.500, 0.500], [0.000, 0.000, 0.000], [0.000, 0.000, 0.500], [0.000, 0.500, 0.000], [0.500, 0.000, 0.000]],
  "total_energy_ev_per_cell": -30.10,
  "raw_formation_energy_mev_per_atom": 1324,
  "crystal_system": "tetragonal",
  "m_tot_mub_per_cell": 1.1
}

---

{
  "formula": "TaSbTePd2",
  "functional": "PBE",
  "state": "relaxed",
  "lattice_angstrom": [[-1.225, 1.598, 4.534], [-2.092, -4.709, 1.095], [4.385, -1.546, 1.730]],
  "species": ["Pd", "Pd", "Te", "Ta", "Sb"],
  "frac_coords": [[0.000, 0.000, 0.500], [0.500, 0.000, 0.000], [0.000, 0.500, 0.000], [0.000, 0.000, 0.000], [0.500, 0.500, 0.500]],
  "total_energy_ev_per_cell": -26.02,
  "raw_formation_energy_mev_per_atom": 697,
  "crystal_system": "tetragonal",
  "m_tot_mub_per_cell": 0.0
}

---

{
  "formula": "TaTl2SbPd",
  "functional": "PBE",
  "state": "relaxed",
  "lattice_angstrom": [[-2.401, -3.605, 3.349], [-0.631, -3.102, -3.792], [4.870, -2.271, 1.047]],
  "species": ["Ta", "Sb", "Tl", "Pd", "Tl"],
  "frac_coords": [[0.000, 0.000, 0.000], [0.500, 0.500, 0.500], [0.500, 0.000, 0.000], [0.000, 0.500, 0.000], [0.000, 0.000, 0.500]],
  "total_energy_ev_per_cell": -21.40,
  "raw_formation_energy_mev_per_atom": 900,
  "crystal_system": "tetragonal",
  "m_tot_mub_per_cell": 0.0
}

---

{
  "formula": "ZrTa2SbPd",
  "functional": "PBE",
  "state": "relaxed",
  "lattice_angstrom": [[4.993, 0.000, 0.000], [0.000, 4.926, 0.000], [0.000, 0.000, 4.993]],
  "species": ["Pd", "Ta", "Ta", "Sb", "Zr"],
  "frac_coords": [[0.000, 0.500, 0.000], [0.500, 0.000, 0.000], [0.000, 0.000, 0.500], [0.500, 0.500, 0.500], [0.000, 0.000, 0.000]],
  "total_energy_ev_per_cell": -33.97,
  "raw_formation_energy_mev_per_atom": 1519,
  "crystal_system": "tetragonal",
  "m_tot_mub_per_cell": 0.0
}

---

{
  "formula": "TbSbPd4",
  "functional": "PBE",
  "state": "relaxed",
  "lattice_angstrom": [[-4.879, 1.035, 2.087], [-1.891, -3.009, 4.075], [-0.426, 2.121, 4.955]],
  "species": ["Pd", "Pd", "Sb", "Pd", "Pd", "Tb"],
  "frac_coords": [[0.625, 0.126, 0.625], [0.625, 0.625, 0.126], [0.000, 0.000, 0.000], [0.625, 0.625, 0.625], [0.126, 0.625, 0.625], [0.250, 0.250, 0.250]],
  "total_energy_ev_per_cell": -32.88,
  "raw_formation_energy_mev_per_atom": -559,
  "crystal_system": "cubic",
  "m_tot_mub_per_cell": 0.0
}

---

{
  "formula": "Tb2Sb3Pd9",
  "functional": "PBE",
  "state": "relaxed",
  "lattice_angstrom": [[-4.799, 4.852, 4.232], [-2.783, -3.627, -6.602], [1.343, -9.336, 4.504]],
  "species": ["Tb", "Pd", "Pd", "Sb", "Sb", "Pd", "Pd", "Pd", "Pd", "Sb", "Sb", "Pd", "Pd", "Sb", "Pd", "Tb", "Pd", "Pd", "Pd", "Pd", "Pd", "Pd", "Pd", "Pd", "Pd", "Sb", "Tb", "Tb"],
  "frac_coords": [[0.665, 0.757, 0.250], [0.323, 0.278, 0.248], [0.785, 0.315, 0.924], [0.177, 0.347, 0.000], [0.500, 0.000, 0.000], [0.215, 0.685, 0.076], [0.124, 0.874, 0.250], [0.783, 0.479, 0.415], [0.217, 0.521, 0.585], [0.847, 0.177, 0.500], [0.500, 0.500, 0.500], [0.868, 0.019, 0.063], [0.891, 0.861, 0.576], [0.823, 0.653, 0.000], [0.470, 0.925, 0.748], [0.335, 0.243, 0.750], [0.564, 0.368, 0.085], [0.677, 0.722, 0.752], [0.132, 0.981, 0.937], [0.544, 0.195, 0.563], [0.876, 0.126, 0.750], [0.456, 0.805, 0.437], [0.109, 0.139, 0.424], [0.436, 0.632, 0.915], [0.530, 0.075, 0.252], [0.153, 0.823, 0.500], [0.008, 0.416, 0.250], [0.992, 0.584, 0.750]],
  "total_energy_ev_per_cell": -156.58,
  "raw_formation_energy_mev_per_atom": -709,
  "crystal_system": "monoclinic",
  "m_tot_mub_per_cell": 0.0
}

---

{
  "formula": "TbSb2Pd4",
  "functional": "PBE",
  "state": "relaxed",
  "lattice_angstrom": [[4.359, 0.000, 0.000], [0.000, 7.925, 0.000], [0.000, 0.000, 7.925]],
  "species": ["Pd", "Sb", "Pd", "Tb", "Pd", "Sb", "Pd", "Pd", "Pd", "Pd", "Pd", "Sb", "Sb", "Tb"],
  "frac_coords": [[0.500, 0.597, 0.148], [0.000, 0.217, 0.783], [0.000, 0.097, 0.352], [0.500, 0.000, 0.000], [0.500, 0.148, 0.597], [0.500, 0.717, 0.717], [0.000, 0.648, 0.903], [0.000, 0.903, 0.648], [0.500, 0.852, 0.403], [0.000, 0.352, 0.097], [0.500, 0.403, 0.852], [0.500, 0.283, 0.283], [0.000, 0.783, 0.217], [0.000, 0.500, 0.500]],
  "total_energy_ev_per_cell": -76.96,
  "raw_formation_energy_mev_per_atom": -691,
  "crystal_system": "tetragonal",
  "m_tot_mub_per_cell": 0.0
}

---

{
  "formula": "TbSb2Pd4",
  "functional": "PBE",
  "state": "relaxed",
  "lattice_angstrom": [[4.520, 0.000, 0.000], [0.000, 7.380, 0.000], [0.000, 0.000, 16.742]],
  "species": ["Pd", "Pd", "Pd", "Sb", "Pd", "Sb", "Pd", "Pd", "Sb", "Tb", "Sb", "Pd", "Sb", "Pd", "Sb", "Sb", "Pd", "Pd", "Pd", "Pd", "Tb", "Pd", "Sb", "Pd", "Pd", "Tb", "Tb", "Pd"],
  "frac_coords": [[0.750, 0.559, 0.561], [0.250, 0.106, 0.536], [0.750, 0.799, 0.293], [0.250, 0.902, 0.795], [0.250, 0.201, 0.707], [0.750, 0.247, 0.972], [0.250, 0.059, 0.939], [0.250, 0.622, 0.683], [0.750, 0.253, 0.472], [0.750, 0.556, 0.146], [0.250, 0.753, 0.028], [0.750, 0.941, 0.061], [0.250, 0.747, 0.528], [0.750, 0.122, 0.817], [0.250, 0.598, 0.295], [0.750, 0.402, 0.705], [0.750, 0.378, 0.317], [0.250, 0.878, 0.183], [0.250, 0.299, 0.207], [0.250, 0.441, 0.439], [0.250, 0.444, 0.854], [0.750, 0.606, 0.964], [0.750, 0.098, 0.205], [0.750, 0.894, 0.464], [0.250, 0.394, 0.036], [0.250, 0.056, 0.354], [0.750, 0.944, 0.646], [0.750, 0.701, 0.793]],
  "total_energy_ev_per_cell": -153.63,
  "raw_formation_energy_mev_per_atom": -680,
  "crystal_system": "orthorhombic",
  "m_tot_mub_per_cell": 0.0
}

---

{
  "formula": "TbSb4Pd15",
  "functional": "PBE",
  "state": "relaxed",
  "lattice_angstrom": [[4.087, 0.000, 0.000], [0.000, 4.087, 0.000], [0.000, 0.000, 20.183]],
  "species": ["Pd", "Pd", "Pd", "Pd", "Pd", "Pd", "Pd", "Sb", "Pd", "Pd", "Pd", "Pd", "Sb", "Pd", "Sb", "Pd", "Pd", "Pd", "Sb", "Tb"],
  "frac_coords": [[0.000, 0.500, 0.500], [0.500, 0.500, 0.205], [0.500, 0.000, 0.302], [0.500, 0.000, 0.698], [0.500, 0.000, 0.896], [0.000, 0.500, 0.104], [0.500, 0.000, 0.104], [0.000, 0.000, 0.800], [0.000, 0.500, 0.896], [0.500, 0.500, 0.599], [0.500, 0.500, 0.000], [0.500, 0.500, 0.401], [0.000, 0.000, 0.600], [0.500, 0.500, 0.795], [0.000, 0.000, 0.200], [0.000, 0.500, 0.302], [0.500, 0.000, 0.500], [0.000, 0.500, 0.698], [0.000, 0.000, 0.400], [0.000, 0.000, 0.000]],
  "total_energy_ev_per_cell": -108.43,
  "raw_formation_energy_mev_per_atom": -471,
  "crystal_system": "tetragonal",
  "m_tot_mub_per_cell": 0.0
}

---

{
  "formula": "Tb8Sb2Pd",
  "functional": "PBE",
  "state": "relaxed",
  "lattice_angstrom": [[-2.525, 3.358, -2.222], [-4.022, -5.094, -3.128], [-3.851, -0.387, 8.874]],
  "species": ["Tb", "Tb", "Tb", "Tb", "Sb", "Pd", "Tb", "Tb", "Sb", "Tb", "Tb"],
  "frac_coords": [[0.405, 0.493, 0.810], [0.649, 0.030, 0.299], [0.785, 0.654, 0.570], [0.007, 0.771, 0.013], [0.182, 0.771, 0.365], [0.500, 0.000, 0.000], [0.215, 0.346, 0.430], [0.993, 0.229, 0.987], [0.818, 0.229, 0.635], [0.595, 0.507, 0.190], [0.351, 0.970, 0.701]],
  "total_energy_ev_per_cell": -56.08,
  "raw_formation_energy_mev_per_atom": -509,
  "crystal_system": "monoclinic",
  "m_tot_mub_per_cell": 0.0
}

---

{
  "formula": "TbSb3Pd",
  "functional": "PBE",
  "state": "relaxed",
  "lattice_angstrom": [[-4.800, -2.570, 2.882], [-1.598, -2.944, -5.285], [7.268, -9.873, 3.301]],
  "species": ["Sb", "Sb", "Tb", "Sb", "Sb", "Sb", "Pd", "Tb", "Tb", "Sb", "Sb", "Pd", "Tb", "Sb", "Sb", "Sb", "Pd", "Sb", "Sb", "Pd"],
  "frac_coords": [[0.000, 0.250, 0.497], [0.500, 0.750, 0.503], [0.750, 0.002, 0.311], [0.250, 0.120, 0.938], [0.750, 0.014, 0.762], [0.750, 0.380, 0.938], [0.500, 0.750, 0.895], [0.250, 0.498, 0.311], [0.250, 0.998, 0.689], [0.250, 0.486, 0.762], [0.500, 0.250, 0.497], [0.000, 0.250, 0.105], [0.750, 0.502, 0.689], [0.750, 0.880, 0.062], [0.750, 0.514, 0.238], [0.250, 0.620, 0.062], [0.500, 0.250, 0.105], [0.000, 0.750, 0.503], [0.250, 0.986, 0.238], [0.000, 0.750, 0.895]],
  "total_energy_ev_per_cell": -101.35,
  "raw_formation_energy_mev_per_atom": -630,
  "crystal_system": "orthorhombic",
  "m_tot_mub_per_cell": 0.0
}

---

{
  "formula": "Tb2Sb7Pd12",
  "functional": "PBE",
  "state": "relaxed",
  "lattice_angstrom": [[4.269, 0.000, 0.000], [0.000, 9.171, -5.295], [0.000, 0.000, 10.590]],
  "species": ["Sb", "Pd", "Pd", "Pd", "Sb", "Sb", "Pd", "Sb", "Pd", "Pd", "Pd", "Tb", "Sb", "Pd", "Pd", "Tb", "Pd", "Pd", "Pd", "Sb", "Sb"],
  "frac_coords": [[0.733, 0.115, 0.706], [0.222, 0.139, 0.881], [0.242, 0.437, 0.377], [0.758, 0.060, 0.437], [0.500, 0.000, 0.000], [0.267, 0.885, 0.294], [0.778, 0.861, 0.119], [0.267, 0.706, 0.591], [0.222, 0.119, 0.258], [0.758, 0.377, 0.940], [0.778, 0.881, 0.742], [0.239, 0.333, 0.667], [0.733, 0.591, 0.885], [0.222, 0.742, 0.861], [0.758, 0.563, 0.623], [0.761, 0.667, 0.333], [0.242, 0.623, 0.060], [0.778, 0.258, 0.139], [0.242, 0.940, 0.563], [0.267, 0.409, 0.115], [0.733, 0.294, 0.409]],
  "total_energy_ev_per_cell": -112.91,
  "raw_formation_energy_mev_per_atom": -594,
  "crystal_system": "trigonal",
  "m_tot_mub_per_cell": 0.0
}

---

{
  "formula": "Tb2Sb3Pd5",
  "functional": "PBE",
  "state": "relaxed",
  "lattice_angstrom": [[-1.433, 0.278, 4.278], [-6.273, -2.755, -1.923], [5.161, -11.826, 0.108]],
  "species": ["Pd", "Pd", "Pd", "Sb", "Pd", "Pd", "Pd", "Pd", "Tb", "Sb", "Tb", "Pd", "Sb", "Pd", "Sb", "Sb", "Sb", "Pd", "Tb", "Tb"],
  "frac_coords": [[0.705, 0.395, 0.410], [0.722, 0.981, 0.444], [0.278, 0.481, 0.556], [0.780, 0.679, 0.560], [0.950, 0.079, 0.900], [0.390, 0.446, 0.780], [0.119, 0.271, 0.238], [0.881, 0.771, 0.762], [0.517, 0.262, 0.033], [0.392, 0.051, 0.784], [0.483, 0.762, 0.967], [0.295, 0.895, 0.590], [0.220, 0.179, 0.440], [0.050, 0.579, 0.100], [0.053, 0.970, 0.106], [0.608, 0.551, 0.216], [0.947, 0.470, 0.894], [0.610, 0.946, 0.220], [0.823, 0.231, 0.645], [0.177, 0.731, 0.355]],
  "total_energy_ev_per_cell": -111.06,
  "raw_formation_energy_mev_per_atom": -794,
  "crystal_system": "orthorhombic",
  "m_tot_mub_per_cell": 0.0
}